No. 1
# FeNiAu2 | Alexandria | PBE-GGA | relaxed
data_FeNiAu2
_symmetry_space_group_name_H-M 'C 1 2/m 1'
_symmetry_Int_Tables_number 12
_symmetry_space_group_name_Hall '-C 2y'
_cell_length_a 5.719
_cell_length_b 7.337
_cell_length_c 2.847
_cell_angle_alpha 90.00
_cell_angle_beta 90.14
_cell_angle_gamma 90.00
loop_
_atom_site_label
_atom_site_type_symbol
_atom_site_fract_x
_atom_site_fract_y
_atom_site_fract_z
_atom_site_occupancy
Fe1 Fe 0.000 0.000 0.000 1
Ni1 Ni 0.000 0.500 0.000 1
Au1 Au 0.250 0.250 0.500 1
# Fermi-level density of states   8.90 states/eV/cell
# DFT formation energy   0.16 eV per atom
# Relative energy among the computed polymorphs   0.373 eV/f.u.

No. 2
# LiCo4 | Alexandria | PBE-GGA | relaxed
data_LiCo4
_symmetry_space_group_name_H-M 'I 4/m'
_symmetry_Int_Tables_number 87
_symmetry_space_group_name_Hall '-I 4'
_cell_length_a 5.535
_cell_length_b 5.535
_cell_length_c 3.576
_cell_angle_alpha 90.00
_cell_angle_beta 90.00
_cell_angle_gamma 90.00
loop_
_atom_site_label
_atom_site_type_symbol
_atom_site_fract_x
_atom_site_fract_y
_atom_site_fract_z
_atom_site_occupancy
Li1 Li 0.000 0.000 0.000 1
Co1 Co 0.091 0.299 0.500 1
# Fermi-level density of states   9.42 states/eV/cell
# DFT formation energy   0.13 eV per atom
# Relative energy among the computed polymorphs   0.000 eV/f.u.

No. 3
# ErB4 | Alexandria | PBE-GGA | relaxed
data_ErB4
_symmetry_space_group_name_H-M 'P 4/m b m'
_symmetry_Int_Tables_number 127
_symmetry_space_group_name_Hall '-P 4 2ab'
_cell_length_a 7.072
_cell_length_b 7.072
_cell_length_c 3.995
_cell_angle_alpha 90.00
_cell_angle_beta 90.00
_cell_angle_gamma 90.00
loop_
_atom_site_label
_atom_site_type_symbol
_atom_site_fract_x
_atom_site_fract_y
_atom_site_fract_z
_atom_site_occupancy
Er1 Er 0.181 0.319 0.000 1
B1 B 0.000 0.000 0.203 1
B2 B 0.039 0.823 0.500 1
B3 B 0.087 0.587 0.500 1
# Fermi-level density of states   2.54 states/eV/cell
# DFT formation energy   -0.58 eV per atom
# Relative energy among the computed polymorphs   0.000 eV/f.u.

No. 4
# Mo2PbBr | Alexandria | PBE-GGA | relaxed
data_Mo2PbBr
_symmetry_space_group_name_H-M 'C m m 2'
_symmetry_Int_Tables_number 35
_symmetry_space_group_name_Hall 'C 2 -2'
_cell_length_a 3.409
_cell_length_b 5.309
_cell_length_c 9.940
_cell_angle_alpha 90.00
_cell_angle_beta 90.00
_cell_angle_gamma 90.00
loop_
_atom_site_label
_atom_site_type_symbol
_atom_site_fract_x
_atom_site_fract_y
_atom_site_fract_z
_atom_site_occupancy
Mo1 Mo 0.000 0.000 0.000 1
Mo2 Mo 0.000 0.500 0.180 1
Pb1 Pb 0.000 0.000 0.442 1
Br1 Br 0.000 0.500 0.783 1
# Fermi-level density of states   5.80 states/eV/cell
# E_form (uncorrected)   422 meV per atom
# Relative energy among the computed polymorphs   0.847 eV/f.u.

No. 5
# Cu2OF | Alexandria | PBE-GGA | relaxed
data_Cu2OF
_symmetry_space_group_name_H-M 'F m -3 m'
_symmetry_Int_Tables_number 225
_symmetry_space_group_name_Hall '-F 4 2 3'
_cell_length_a 5.387
_cell_length_b 5.387
_cell_length_c 5.387
_cell_angle_alpha 90.00
_cell_angle_beta 90.00
_cell_angle_gamma 90.00
loop_
_atom_site_label
_atom_site_type_symbol
_atom_site_fract_x
_atom_site_fract_y
_atom_site_fract_z
_atom_site_occupancy
Cu1 Cu 0.250 0.250 0.250 1
O1 O 0.000 0.000 0.000 1
F1 F 0.000 0.000 0.500 1
# Fermi-level density of states   20.48 states/eV/cell
# E_form (uncorrected)   -372 meV per atom
# Relative energy among the computed polymorphs   1.595 eV/f.u.

No. 6
# ReSe3 | Alexandria | PBE-GGA | relaxed
data_ReSe3
_symmetry_space_group_name_H-M 'C 1 2/m 1'
_symmetry_Int_Tables_number 12
_symmetry_space_group_name_Hall '-C 2y'
_cell_length_a 7.153
_cell_length_b 3.103
_cell_length_c 8.134
_cell_angle_alpha 90.00
_cell_angle_beta 103.11
_cell_angle_gamma 90.00
loop_
_atom_site_label
_atom_site_type_symbol
_atom_site_fract_x
_atom_site_fract_y
_atom_site_fract_z
_atom_site_occupancy
Re1 Re 0.000 0.000 0.000 1
Se1 Se 0.000 0.500 0.500 1
Se2 Se 0.157 0.500 0.825 1
# Fermi-level density of states   5.68 states/eV/cell
# E_form (uncorrected)   201 meV per atom
# Relative energy among the computed polymorphs   0.913 eV/f.u.

No. 7
# Ac2CdGe4Pd3 | Alexandria | PBE-GGA | relaxed
data_Ac2CdGe4Pd3
_symmetry_space_group_name_H-M 'P -4 m 2'
_symmetry_Int_Tables_number 115
_symmetry_space_group_name_Hall 'P -4 -2'
_cell_length_a 4.485
_cell_length_b 4.485
_cell_length_c 10.676
_cell_angle_alpha 90.00
_cell_angle_beta 90.00
_cell_angle_gamma 90.00
loop_
_atom_site_label
_atom_site_type_symbol
_atom_site_fract_x
_atom_site_fract_y
_atom_site_fract_z
_atom_site_occupancy
Ac1 Ac 0.000 0.500 0.242 1
Cd1 Cd 0.000 0.000 0.500 1
Ge1 Ge 0.000 0.000 0.000 1
Ge2 Ge 0.000 0.500 0.644 1
Ge3 Ge 0.500 0.500 0.000 1
Pd1 Pd 0.000 0.500 0.881 1
Pd2 Pd 0.500 0.500 0.500 1
# Fermi-level density of states   5.52 states/eV/cell
# DFT formation energy   -0.73 eV per atom

No. 8
# Y4ScTc | Alexandria | PBE-GGA | relaxed
data_Y4ScTc
_symmetry_space_group_name_H-M 'F -4 3 m'
_symmetry_Int_Tables_number 216
_symmetry_space_group_name_Hall 'F -4 2 3'
_cell_length_a 8.700
_cell_length_b 8.700
_cell_length_c 8.700
_cell_angle_alpha 90.00
_cell_angle_beta 90.00
_cell_angle_gamma 90.00
loop_
_atom_site_label
_atom_site_type_symbol
_atom_site_fract_x
_atom_site_fract_y
_atom_site_fract_z
_atom_site_occupancy
Y1 Y 0.124 0.124 0.376 1
Sc1 Sc 0.000 0.000 0.000 1
Tc1 Tc 0.250 0.250 0.750 1
# Fermi-level density of states   35.29 states/eV/cell
# DFT formation energy   0.79 eV per atom

No. 9
# Nd8P3CSe3 | Alexandria | PBE-GGA | relaxed
data_Nd8P3CSe3
_symmetry_space_group_name_H-M 'R -3 m'
_symmetry_Int_Tables_number 166
_symmetry_space_group_name_Hall '-R 3 2"'
_cell_length_a 8.2455
_cell_length_b 8.2455
_cell_length_c 20.8284
_cell_angle_alpha 90.00
_cell_angle_beta 90.00
_cell_angle_gamma 120.00
loop_
_atom_site_label
_atom_site_type_symbol
_atom_site_fract_x
_atom_site_fract_y
_atom_site_fract_z
_atom_site_occupancy
Nd1 Nd 0.0000 0.0000 0.2432 1
Nd2 Nd 0.0260 0.5130 0.2383 1
P1 P 0.0000 0.5000 0.5000 1
C1 C 0.0000 0.0000 0.5000 1
Se1 Se 0.0000 0.5000 0.0000 1
# Fermi-level density of states   19.36 states/eV/cell
# E_form (uncorrected)   -1414 meV per atom

No. 10
# Pb2Br | Alexandria | PBE-GGA | relaxed
data_Pb2Br
_symmetry_space_group_name_H-M 'P a -3'
_symmetry_Int_Tables_number 205
_symmetry_space_group_name_Hall '-P 2ac 2ab 3'
_cell_length_a 7.608
_cell_length_b 7.608
_cell_length_c 7.608
_cell_angle_alpha 90.00
_cell_angle_beta 90.00
_cell_angle_gamma 90.00
loop_
_atom_site_label
_atom_site_type_symbol
_atom_site_fract_x
_atom_site_fract_y
_atom_site_fract_z
_atom_site_occupancy
Pb1 Pb 0.124 0.124 0.124 1
Br1 Br 0.000 0.000 0.500 1
# Fermi-level density of states   6.39 states/eV/cell
# E_form (uncorrected)   42 meV per atom
# Relative energy among the computed polymorphs   0.947 eV/f.u.

No. 11
# LiAgSnRu | Alexandria | PBE-GGA | relaxed
data_LiAgSnRu
_symmetry_space_group_name_H-M 'F -4 3 m'
_symmetry_Int_Tables_number 216
_symmetry_space_group_name_Hall 'F -4 2 3'
_cell_length_a 6.402
_cell_length_b 6.402
_cell_length_c 6.402
_cell_angle_alpha 90.00
_cell_angle_beta 90.00
_cell_angle_gamma 90.00
loop_
_atom_site_label
_atom_site_type_symbol
_atom_site_fract_x
_atom_site_fract_y
_atom_site_fract_z
_atom_site_occupancy
Li1 Li 0.000 0.000 0.000 1
Ag1 Ag 0.250 0.250 0.750 1
Sn1 Sn 0.250 0.250 0.250 1
Ru1 Ru 0.000 0.000 0.500 1
# Fermi-level density of states   10.42 states/eV/cell
# DFT formation energy   -0.09 eV per atom

No. 12
# MnHg2Cl | Alexandria | PBE-GGA | relaxed
data_MnHg2Cl
_symmetry_space_group_name_H-M 'C m m m'
_symmetry_Int_Tables_number 65
_symmetry_space_group_name_Hall '-C 2 2'
_cell_length_a 3.742
_cell_length_b 5.708
_cell_length_c 8.437
_cell_angle_alpha 90.00
_cell_angle_beta 90.00
_cell_angle_gamma 90.00
loop_
_atom_site_label
_atom_site_type_symbol
_atom_site_fract_x
_atom_site_fract_y
_atom_site_fract_z
_atom_site_occupancy
Mn1 Mn 0.000 0.000 0.000 1
Hg1 Hg 0.000 0.500 0.240 1
Cl1 Cl 0.000 0.000 0.500 1
# Fermi-level density of states   3.77 states/eV/cell
# E_form (uncorrected)   86 meV per atom
# Relative energy among the computed polymorphs   1.039 eV/f.u.